A plane-wave DFT calculation with GGA-PBE was carried out for LiLaTbPb after structural relaxation.

Values from the calculation:
SG	F-43m (216)
ΔE_f	-1.23	eV per formula unit
uncorrected energy	-16.4	eV per cell

POSCAR file:
```
LiLaTbPb
1.0
5.449 0.000 0.000
2.725 4.719 0.000
2.725 1.573 4.449
Pb Tb Li La
1 1 1 1
Cartesian
5.449 3.146 2.225 Pb
8.174 4.719 3.337 Tb
0.000 0.000 0.000 Li
2.725 1.573 1.112 La
```

A plane-wave DFT calculation with GGA-PBE was carried out for Li2LaTcPb after structural relaxation.

Values from the calculation:
SG	P4/mmm (123)
ΔE_f	1.89	eV per formula unit
uncorrected energy	-20.9	eV per cell

POSCAR file:
```
Li2LaTcPb
1.0
-3.243 -1.639 3.591
2.406 -4.270 0.224
3.051 1.909 3.626
La Pb Li Tc
1 1 2 1
Cartesian
1.203 -2.135 0.112 La
1.107 -2.000 3.721 Pb
1.525 0.954 1.813 Li
-1.622 -0.819 1.795 Li
0.000 0.000 0.000 Tc
```

A plane-wave DFT calculation with GGA-PBE was carried out for LiLaTe3Pb after structural relaxation.

Values from the calculation:
SG	P2_1/m (11)
uncorrected formation energy	-1.026	eV per atom
uncorrected energy	-52.3	eV per cell

POSCAR file:
```
LiLaTe3Pb
1.0
-3.323 2.319 -1.746
2.476 -2.939 -8.614
-6.330 -6.989 2.763
Pb Te La Li
2 6 2 2
Cartesian
-6.946 -5.101 -1.918 Pb
-0.231 -2.508 -5.679 Pb
-5.036 -2.269 -1.792 Te
-4.652 -6.999 -3.230 Te
-2.525 -0.610 -4.367 Te
-2.141 -5.340 -5.805 Te
-6.150 -5.817 1.192 Te
-1.026 -1.792 -8.789 Te
-5.325 -6.084 -6.308 La
-1.852 -1.525 -1.289 La
-4.341 -3.802 0.425 Li
-2.836 -3.807 -8.021 Li
```

A plane-wave DFT calculation with GGA-PBE was carried out for LiLa2Te4Pb after structural relaxation.

Values from the calculation:
SG	P2/m (10)
uncorrected formation energy	-1.133	eV per atom
uncorrected energy	-37.1	eV per cell

POSCAR file:
```
LiLa2Te4Pb
1.0
-0.621 -2.995 -3.359
-3.101 -5.198 5.208
-7.738 1.126 0.426
La Te Li Pb
2 4 1 1
Cartesian
-7.738 1.126 0.426 La
-4.179 -0.934 -1.466 La
-6.846 -2.002 -0.022 Te
-8.057 -3.028 4.189 Te
-3.403 -4.038 -1.914 Te
-4.613 -5.064 2.297 Te
-5.419 -2.036 2.817 Li
-1.861 -4.096 0.925 Pb
```

A plane-wave DFT calculation with GGA-PBE was carried out for LiLaTe4Pb2 after structural relaxation.

Values from the calculation:
SG	P2/m (10)
uncorrected formation energy	-0.860	eV per atom
uncorrected energy	-33.7	eV per cell

POSCAR file:
```
LiLaTe4Pb2
1.0
-1.547 1.262 -4.137
-4.434 -6.418 -0.300
-4.192 5.905 3.369
Te Li La Pb
4 1 1 2
Cartesian
-4.342 2.848 2.492 Te
-2.907 0.415 -1.337 Te
-7.266 0.333 0.268 Te
-4.284 -3.362 0.576 Te
-2.990 -2.578 -2.219 Li
0.000 0.000 0.000 La
-2.869 3.583 -0.384 Pb
-4.313 -0.257 1.534 Pb
```

A plane-wave DFT calculation with GGA-PBE was carried out for Li2La2ThPb2 after structural relaxation.

Values from the calculation:
SG	R-3m (166)
ΔE_f	-1.95	eV per formula unit
uncorrected energy	-30.5	eV per cell

POSCAR file:
```
Li2La2ThPb2
1.0
-4.508 0.200 -2.007
-2.287 -4.162 -1.357
-6.079 -1.996 7.380
Li Pb La Th
2 2 2 1
Cartesian
-7.561 -3.178 4.513 Li
-5.314 -2.780 -0.496 Li
-9.859 -4.505 3.466 Pb
-3.015 -1.454 0.551 Pb
-4.593 -1.733 4.067 La
-8.281 -4.225 -0.051 La
0.000 0.000 0.000 Th
```

A plane-wave DFT calculation with GGA-PBE was carried out for LiLaTl2Pb after structural relaxation.

Values from the calculation:
SG	P4/mmm (123)
ΔE_f	-1.03	eV per formula unit
uncorrected energy	-16.3	eV per cell

POSCAR file:
```
LiLaTl2Pb
1.0
5.142 0.000 0.000
0.000 5.142 0.000
0.000 0.000 5.176
La Tl Li Pb
1 2 1 1
Cartesian
2.571 2.571 2.588 La
2.571 0.000 0.000 Tl
0.000 2.571 0.000 Tl
0.000 0.000 0.000 Li
0.000 0.000 2.588 Pb
```

A plane-wave DFT calculation with GGA-PBE was carried out for LiLaTmPb after structural relaxation.

Values from the calculation:
SG	F-43m (216)
ΔE_f	-1.11	eV per formula unit
uncorrected energy	-16.1	eV per cell

POSCAR file:
```
LiLaTmPb
1.0
5.411 0.000 0.000
2.706 4.686 0.000
2.706 1.562 4.418
La Pb Li Tm
1 1 1 1
Cartesian
8.117 4.686 3.314 La
0.000 0.000 0.000 Pb
5.411 3.124 2.209 Li
2.706 1.562 1.105 Tm
```

A plane-wave DFT calculation with GGA-PBE was carried out for LiLa2PbW after structural relaxation.

Values from the calculation:
SG	P4/mmm (123)
ΔE_f	1.80	eV per formula unit
uncorrected energy	-26.6	eV per cell

POSCAR file:
```
LiLa2PbW
1.0
-5.553 -0.265 0.440
0.115 -5.209 -1.676
0.500 -1.691 5.290
La Pb Li W
2 1 1 1
Cartesian
-2.776 -0.132 0.220 La
0.250 -0.845 2.645 La
0.058 -2.605 -0.838 Pb
-2.469 -3.582 2.027 Li
0.000 0.000 0.000 W
```

A plane-wave DFT calculation with GGA-PBE was carried out for Li2LaY2Pb2 after structural relaxation.

Values from the calculation:
SG	R-3m (166)
ΔE_f	-2.59	eV per formula unit
uncorrected energy	-31.7	eV per cell

POSCAR file:
```
Li2LaY2Pb2
1.0
-2.355 -2.820 3.238
1.214 -4.721 0.475
5.790 -0.280 7.671
Pb Li La Y
2 2 1 2
Cartesian
3.665 -5.801 8.724 Pb
0.984 -2.020 2.660 Pb
0.763 -4.475 4.064 Li
3.886 -3.345 7.320 Li
0.000 0.000 0.000 La
3.366 -1.157 5.143 Y
1.283 -6.663 6.241 Y
```

A plane-wave DFT calculation with GGA-PBE was carried out for Li4LaPd4 after structural relaxation.

Values from the calculation:
SG	I4/m (87)
ΔE_f	-3.98	eV per formula unit
uncorrected energy	-74.7	eV per cell

POSCAR file:
```
Li4LaPd4
1.0
4.386 0.000 0.000
0.000 8.214 0.000
0.000 0.000 8.214
Pd Li La
8 8 2
Cartesian
4.386 5.221 2.285 Pd
0.001 5.929 5.221 Pd
2.194 1.114 6.393 Pd
2.194 7.101 1.822 Pd
4.386 2.994 5.929 Pd
2.192 1.822 1.114 Pd
2.192 6.393 7.101 Pd
0.001 2.285 2.994 Pd
0.001 7.643 3.028 Li
2.194 7.136 4.679 Li
2.194 1.079 3.536 Li
0.001 0.572 5.186 Li
2.192 3.536 7.136 Li
2.192 4.679 1.079 Li
4.385 5.186 7.643 Li
4.385 3.028 0.572 Li
2.193 4.107 4.107 La
0.000 0.000 0.000 La
```

A plane-wave DFT calculation with GGA-PBE was carried out for Li3LaPd4 after structural relaxation.

Values from the calculation:
SG	Im-3m (229)
ΔE_f	-3.85	eV per formula unit
uncorrected energy	-35.3	eV per cell

POSCAR file:
```
Li3LaPd4
1.0
-3.434 4.423 0.271
-2.191 -4.249 2.929
4.991 1.374 2.151
Pd Li La
4 3 1
Cartesian
-1.095 -2.124 1.464 Pd
2.495 0.687 1.075 Pd
-0.317 0.774 2.676 Pd
-1.717 2.211 0.136 Pd
1.400 -1.437 2.540 Li
-2.812 0.087 1.600 Li
0.779 2.899 1.211 Li
0.000 0.000 0.000 La
```

A plane-wave DFT calculation with GGA-PBE was carried out for LiLa2Pd9 after structural relaxation.

Values from the calculation:
SG	P4/mmm (123)
ΔE_f	-7.18	eV per formula unit
uncorrected energy	-65.7	eV per cell

POSCAR file:
```
LiLa2Pd9
1.0
4.223 0.000 0.000
0.000 4.223 0.000
0.000 0.000 11.840
La Pd Li
2 9 1
Cartesian
0.000 0.000 3.783 La
0.000 0.000 8.057 La
2.112 0.000 10.104 Pd
2.112 2.112 8.011 Pd
2.112 2.112 0.000 Pd
0.000 2.112 5.920 Pd
0.000 2.112 1.735 Pd
2.112 0.000 5.920 Pd
2.112 2.112 3.829 Pd
2.112 0.000 1.735 Pd
0.000 2.112 10.104 Pd
0.000 0.000 0.000 Li
```

A plane-wave DFT calculation with GGA-PBE was carried out for Li7LaPd4 after structural relaxation.

Values from the calculation:
SG	C2/m (12)
ΔE_f	-2.94	eV per formula unit
uncorrected energy	-42.0	eV per cell

POSCAR file:
```
Li7LaPd4
1.0
5.032 0.000 0.000
2.516 8.319 0.232
2.516 0.344 5.016
Li Pd La
7 4 1
Cartesian
5.032 3.277 1.796 Li
7.547 3.897 4.196 Li
2.516 4.766 1.052 Li
7.547 6.655 3.169 Li
2.516 2.008 2.079 Li
2.516 0.000 0.000 Li
5.032 5.386 3.452 Li
5.032 7.797 2.577 Pd
5.032 5.779 0.699 Pd
5.032 2.884 4.549 Pd
5.032 0.866 2.671 Pd
0.000 0.000 0.000 La
```

A plane-wave DFT calculation with GGA-PBE was carried out for Li9LaPd2 after structural relaxation.

Values from the calculation:
SG	I4_1/amd (141)
ΔE_f	-1.96	eV per formula unit
uncorrected energy	-69.0	eV per cell

POSCAR file:
```
Li9LaPd2
1.0
-7.040 -1.797 0.549
-1.509 -8.112 2.450
-3.513 1.355 7.740
Li Pd La
18 4 2
Cartesian
-5.896 -6.911 5.526 Li
-6.700 -3.117 7.646 Li
0.000 0.000 0.000 Li
-4.112 -1.466 7.954 Li
-3.403 -5.928 2.430 Li
-4.424 -4.290 8.807 Li
-2.157 -3.409 2.478 Li
-4.604 -0.255 5.600 Li
-6.389 -5.700 3.173 Li
-8.388 -7.194 6.889 Li
-7.791 -4.727 5.506 Li
-3.935 -6.601 7.515 Li
-2.910 -7.139 4.784 Li
-5.634 -1.317 3.029 Li
-5.144 -3.628 1.737 Li
-2.646 -1.098 3.769 Li
-7.192 -1.906 5.292 Li
-8.877 -4.883 8.181 Li
-9.172 -2.585 6.897 Pd
-7.415 -3.262 3.028 Pd
-8.169 -7.318 4.252 Pd
-6.406 -5.742 7.848 Pd
-4.271 -3.828 5.232 La
-3.520 -0.899 0.274 La
```

A plane-wave DFT calculation with GGA-PBE was carried out for LiLa2Pd after structural relaxation.

Values from the calculation:
SG	P4/mmm (123)
ΔE_f	-1.31	eV per formula unit
uncorrected energy	-18.3	eV per cell

POSCAR file:
```
LiLa2Pd
1.0
-1.883 -2.059 2.560
3.168 -1.919 0.787
1.749 5.096 5.387
La Li Pd
2 1 1
Cartesian
0.385 1.121 1.184 La
1.364 3.976 4.202 La
1.517 0.559 4.367 Li
0.643 -1.989 1.673 Pd
```

A plane-wave DFT calculation with GGA-PBE was carried out for Li6LaPd4 after structural relaxation.

Values from the calculation:
SG	I-42m (121)
ΔE_f	-3.10	eV per formula unit
uncorrected energy	-40.3	eV per cell

POSCAR file:
```
Li6LaPd4
1.0
6.753 -0.279 -0.410
-3.370 5.858 0.410
-3.370 -1.772 5.599
Li Pd La
6 4 1
Cartesian
-4.708 1.419 5.174 Li
-0.758 1.895 2.787 Li
-4.708 4.290 3.222 Li
1.692 2.790 0.000 Li
1.692 -1.026 2.594 Li
3.448 0.289 0.425 Li
1.669 1.411 2.075 Pd
-2.890 0.360 3.524 Pd
-2.615 2.978 4.379 Pd
-2.890 3.145 1.630 Pd
0.000 0.000 0.000 La
```

A plane-wave DFT calculation with GGA-PBE was carried out for LiLa2Pd after structural relaxation.

Values from the calculation:
SG	I-42d (122)
ΔE_f	-0.56	eV per formula unit
uncorrected energy	-35.0	eV per cell

POSCAR file:
```
LiLa2Pd
1.0
8.303 0.000 0.000
0.000 8.303 0.000
4.152 4.152 3.273
Pd Li La
2 2 4
Cartesian
8.303 4.152 1.636 Pd
0.000 0.000 0.000 Pd
4.152 4.152 0.000 Li
4.152 8.303 1.636 Li
6.507 2.076 0.818 La
6.228 5.948 2.455 La
10.379 10.659 2.455 La
1.796 6.228 0.818 La
```

A plane-wave DFT calculation with GGA-PBE was carried out for LiLaPd after structural relaxation.

Values from the calculation:
relative energy among the computed polymorphs	86.3	meV per atom
SG	Pmma (51)
ΔE_f	-1.45	eV per formula unit
uncorrected energy	-27.0	eV per cell

POSCAR file:
```
LiLaPd
1.0
3.767 0.000 0.000
0.000 4.656 0.000
0.000 0.000 8.637
La Li Pd
2 2 2
Cartesian
1.174 3.335 0.696 La
1.173 1.007 6.151 La
3.057 1.006 2.647 Li
3.056 3.334 4.202 Li
3.057 1.007 0.012 Pd
3.057 3.335 6.836 Pd
```

A plane-wave DFT calculation with GGA-PBE was carried out for LiLa2Pd2 after structural relaxation.

Values from the calculation:
relative energy among the computed polymorphs	556.6	meV per atom
SG	P4/mmm (123)
ΔE_f	-0.47	eV per formula unit
uncorrected energy	-22.6	eV per cell

POSCAR file:
```
LiLa2Pd2
1.0
5.510 0.000 0.000
0.000 5.510 0.000
0.000 0.000 5.120
La Li Pd
2 1 2
Cartesian
0.000 2.755 0.000 La
2.755 0.000 0.000 La
2.755 2.755 2.560 Li
0.000 0.000 2.560 Pd
0.000 0.000 0.000 Pd
```

A plane-wave DFT calculation with GGA-PBE was carried out for Li2LaPd5 after structural relaxation.

Values from the calculation:
SG	I4/mmm (139)
ΔE_f	-3.95	eV per formula unit
uncorrected energy	-38.7	eV per cell

POSCAR file:
```
Li2LaPd5
1.0
0.981 5.563 0.339
-1.264 -2.038 -5.125
-4.533 -0.990 3.239
La Pd Li
1 5 2
Cartesian
-4.753 1.754 -0.486 La
-0.710 -0.037 -3.891 Pd
-4.121 2.771 2.077 Pd
-0.078 0.980 -1.328 Pd
-2.347 0.484 0.289 Pd
-2.485 2.246 -2.105 Pd
-2.978 -0.536 -2.274 Li
-1.855 3.264 0.458 Li
```

A plane-wave DFT calculation with GGA-PBE was carried out for LiLa2Pd after structural relaxation.

Values from the calculation:
SG	R-3m (166)
ΔE_f	-0.45	eV per formula unit
uncorrected energy	-17.4	eV per cell

POSCAR file:
```
LiLa2Pd
1.0
4.016 0.000 0.000
2.008 3.478 0.000
2.008 1.159 10.549
La Li Pd
2 1 1
Cartesian
6.025 3.478 3.517 La
2.008 1.159 7.032 La
0.000 0.000 0.000 Li
4.016 2.319 5.275 Pd
```

A plane-wave DFT calculation with GGA-PBE was carried out for LiLa2Pd2 after structural relaxation.

Values from the calculation:
relative energy among the computed polymorphs	348.6	meV per atom
SG	I4/mmm (139)
ΔE_f	-1.51	eV per formula unit
uncorrected energy	-23.7	eV per cell

POSCAR file:
```
LiLa2Pd2
1.0
-2.429 1.670 -2.779
-0.306 -3.575 -1.881
-7.865 -2.801 2.240
Pd La Li
2 2 1
Cartesian
-5.831 -1.042 -1.434 Pd
-4.769 -3.664 -0.985 Pd
-2.912 -1.392 -1.244 La
-7.688 -3.314 -1.176 La
0.000 0.000 0.000 Li
```

A plane-wave DFT calculation with GGA-PBE was carried out for LiLa2Pd2 after structural relaxation.

Values from the calculation:
relative energy among the computed polymorphs	0.0	meV per atom
SG	P4/mbm (127)
ΔE_f	-3.26	eV per formula unit
uncorrected energy	-50.8	eV per cell

POSCAR file:
```
LiLa2Pd2
1.0
7.907 0.000 0.000
0.000 7.907 0.000
0.000 0.000 4.000
Li Pd La
2 4 4
Cartesian
3.954 3.954 0.000 Li
0.000 0.000 0.000 Li
2.904 6.858 0.000 Pd
6.858 5.003 0.000 Pd
1.049 2.904 0.000 Pd
5.003 1.049 0.000 Pd
5.284 6.577 2.000 La
1.331 5.284 2.000 La
6.577 2.623 2.000 La
2.623 1.331 2.000 La
```